(1)
A relaxed structure of Mg2AlCr. Source: Alexandria via LeMat-Bulk, functional PBE.

Cell: 3.116 3.116 7.481 Å, 90.00 90.00 90.00°
Space group P4mm (No. 99)
One atom of each set of equivalent atoms:
Mg (0.000, 0.000, 0.000) [1 per cell]
Mg (0.500, 0.500, 0.305) [1 per cell]
Al (0.000, 0.000, 0.574) [1 per cell]
Cr (0.500, 0.500, 0.756) [1 per cell]

## Properties
Crystal system: tetragonal
DFT total energy in eV per atom: -4.00
Mass density in g/cm3: 2.916

---

(2)
A relaxed structure of Tl2SbPb. Source: Alexandria via LeMat-Bulk, functional PBE.

Cell: 5.089 5.089 9.476 Å, 90.00 90.00 90.00°
Space group I-4m2 (No. 119)
One atom of each set of equivalent atoms:
Tl (0.000, 0.000, 0.000) [2 per cell]
Tl (0.000, 0.500, 0.250) [2 per cell]
Sb (0.000, 0.000, 0.500) [2 per cell]
Pb (0.000, 0.500, 0.750) [2 per cell]

## Properties
Energy relative to the elements, uncorrected in eV/atom: 0.012
Crystal system: tetragonal
DFT total energy in eV per atom: -3.13
Mass density in g/cm3: 9.982
Excess energy over the best structure of this formula in the dataset in meV/atom: 15

---

(3)
A relaxed structure of SrNdRh. Source: Alexandria via LeMat-Bulk, functional PBE.

Cell: 4.1772 4.1772 6.8113 Å, 90.00 90.00 120.00°
Space group P3m1 (No. 156)
One atom of each set of equivalent atoms:
Sr (0.0000, 0.0000, 0.0000) [1 per cell]
Nd (0.3333, 0.6667, 0.4747) [1 per cell]
Rh (0.6667, 0.3333, 0.2704) [1 per cell]

## Properties
Crystal system: trigonal
DFT total energy in eV per atom: -4.95
Mass density in g/cm3: 5.401
Excess energy over the best structure of this formula in the dataset in meV/atom: 58

---

(4)
A relaxed structure of Tb2NdYEr5. Source: Alexandria via LeMat-Bulk, functional PBE.

Cell: 8.870 8.870 14.745 Å, 90.00 90.00 90.00°
Space group I4/mcm (No. 140)
One atom of each set of equivalent atoms:
Tb (0.113, 0.387, 0.000) [8 per cell]
Nd (0.000, 0.000, 0.250) [4 per cell]
Y (0.000, 0.500, 0.250) [4 per cell]
Er (0.000, 0.000, 0.000) [4 per cell]
Er (0.207, 0.293, 0.367) [16 per cell]

## Properties
Crystal system: tetragonal
DFT total energy in eV per atom: -4.53
Mass density in g/cm3: 7.944

---

(5)
A relaxed structure of LiCrCoSn. Source: Alexandria via LeMat-Bulk, functional PBE.

Cell: 6.053 6.053 6.053 Å, 90.00 90.00 90.00°
Space group F-43m (No. 216)
One atom of each set of equivalent atoms:
Li (0.000, 0.000, 0.000) [4 per cell]
Cr (0.250, 0.250, 0.750) [4 per cell]
Co (0.000, 0.000, 0.500) [4 per cell]
Sn (0.250, 0.250, 0.250) [4 per cell]

## Properties
Crystal system: cubic
DFT total energy in eV per atom: -5.64
Mass density in g/cm3: 7.086

---

(6)
A relaxed structure of CsPr2Br8. Source: Alexandria via LeMat-Bulk, functional PBE.

Cell: 9.205 14.957 5.746 Å, 90.00 90.00 90.00°
Space group Cmmm (No. 65)
One atom of each set of equivalent atoms:
Cs (0.000, 0.000, 0.000) [2 per cell]
Pr (0.000, 0.303, 0.500) [4 per cell]
Br (0.000, 0.262, 0.000) [4 per cell]
Br (0.000, 0.500, 0.248) [4 per cell]
Br (0.192, 0.136, 0.500) [8 per cell]

## Properties
Energy relative to the elements, uncorrected in eV/atom: -1.710
Crystal system: orthorhombic
DFT total energy in eV per atom: -3.87
Mass density in g/cm3: 4.425
Excess energy over the best structure of this formula in the dataset in meV/atom: 0

---

(7)
A relaxed structure of TcAg. Source: Alexandria via LeMat-Bulk, functional PBE.

Cell: 4.3712 4.3712 4.6500 Å, 90.00 90.00 120.00°
Space group P6_3/mmc (No. 194)
One atom of each set of equivalent atoms:
Tc (0.0000, 0.0000, 0.0000) [2 per cell]
Ag (0.3333, 0.6667, 0.2500) [2 per cell]

## Properties
Crystal system: hexagonal
DFT total energy in eV per atom: -5.41
Mass density in g/cm3: 8.885
Excess energy over the best structure of this formula in the dataset in meV/atom: 1024

---

(8)
A relaxed structure of CsNiIN2. Source: Alexandria via LeMat-Bulk, functional PBE.

Cell: 4.582 4.582 5.323 Å, 90.00 90.00 90.00°
Space group P4/mmm (No. 123)
One atom of each set of equivalent atoms:
Cs (0.000, 0.000, 0.000) [1 per cell]
Ni (0.500, 0.500, 0.500) [1 per cell]
I (0.500, 0.500, 0.000) [1 per cell]
N (0.000, 0.500, 0.500) [2 per cell]

## Properties
Energy relative to the elements, uncorrected in eV/atom: 1.430
Crystal system: tetragonal
DFT total energy in eV per atom: -3.54
Mass density in g/cm3: 5.149
Excess energy over the best structure of this formula in the dataset in meV/atom: 0

---

(9)
A relaxed structure of Ac2Pm5Pr2. Source: Alexandria via LeMat-Bulk, functional PBE.

Cell: 17.327 3.700 12.333 Å, 90.00 122.33 90.00°
Space group C2/m (No. 12)
One atom of each set of equivalent atoms:
Ac (0.046, 0.000, 0.264) [4 per cell]
Pm (0.000, 0.500, 0.500) [2 per cell]
Pm (0.111, 0.500, 0.057) [4 per cell]
Pm (0.221, 0.000, 0.610) [4 per cell]
Pr (0.186, 0.500, 0.839) [4 per cell]

## Properties
Crystal system: monoclinic
DFT total energy in eV per atom: -4.57
Mass density in g/cm3: 7.262
Excess energy over the best structure of this formula in the dataset in meV/atom: 0

---

(10)
A relaxed structure of RbLiAcBr5. Source: Alexandria via LeMat-Bulk, functional PBE.

Cell: 9.730 13.258 11.214 Å, 90.00 113.17 90.00°
Space group C2/c (No. 15)
One atom of each set of equivalent atoms:
Rb (0.000, 0.146, 0.250) [4 per cell]
Li (0.000, 0.190, 0.750) [4 per cell]
Ac (0.000, 0.500, 0.000) [4 per cell]
Br (0.000, 0.407, 0.250) [4 per cell]
Br (0.117, 0.297, 0.623) [8 per cell]
Br (0.179, 0.068, 0.924) [8 per cell]

## Properties
Energy relative to the elements, uncorrected in eV/atom: -1.830
Crystal system: monoclinic
DFT total energy in eV per atom: -3.75
Mass density in g/cm3: 3.590

---

(11)
A relaxed structure of Tb8Cd2Hg. Source: Alexandria via LeMat-Bulk, functional PBE.

Cell: 16.241 5.351 8.539 Å, 90.00 121.19 90.00°
Space group C2/m (No. 12)
One atom of each set of equivalent atoms:
Tb (0.068, 0.000, 0.219) [4 per cell]
Tb (0.092, 0.500, 0.950) [4 per cell]
Tb (0.136, 0.000, 0.683) [4 per cell]
Tb (0.181, 0.500, 0.448) [4 per cell]
Cd (0.227, 0.000, 0.116) [4 per cell]
Hg (0.000, 0.500, 0.500) [2 per cell]

## Properties
Crystal system: monoclinic
DFT total energy in eV per atom: -3.75
Mass density in g/cm3: 8.877
Excess energy over the best structure of this formula in the dataset in meV/atom: 0

---

(12)
A relaxed structure of TmPaCuIr. Source: Alexandria via LeMat-Bulk, functional PBE.

Cell: 6.872 6.872 6.872 Å, 90.00 90.00 90.00°
Space group F-43m (No. 216)
One atom of each set of equivalent atoms:
Tm (0.000, 0.000, 0.000) [4 per cell]
Pa (0.000, 0.000, 0.500) [4 per cell]
Cu (0.250, 0.250, 0.750) [4 per cell]
Ir (0.250, 0.250, 0.250) [4 per cell]

## Properties
Crystal system: cubic
DFT total energy in eV per atom: -7.16
Mass density in g/cm3: 13.424

---

(13)
A relaxed structure of CoSiP. Source: Alexandria via LeMat-Bulk, functional PBE.

Cell: 3.944 3.944 4.935 Å, 90.00 90.00 90.00°
Space group P4/nmm (No. 129, origin choice 2)
One atom of each set of equivalent atoms:
Co (0.250, 0.750, 0.000) [2 per cell]
Si (0.250, 0.250, 0.274) [2 per cell]
P (0.250, 0.250, 0.734) [2 per cell]

## Properties
Energy relative to the elements, uncorrected in eV/atom: -0.128
Crystal system: tetragonal
DFT total energy in eV per atom: -6.11
Mass density in g/cm3: 5.105